La3Rh5N12 (PBE, optimized geometry); space-group type = Ia-3d, No. 230; volume = 1082.0 Å³ per cell; ρ = 6748 kg/m3; calculated total energy = -7.4475 eV per atom
1.0
-1.0539 -11.1519 0.0680
3.6799 3.3417 -10.0385
7.3244 3.1065 7.8857
La Rh N
12 20 48
direct
0.7500 0.3750 0.1250
0.8750 0.7500 0.1250
0.3750 0.7500 0.6250
0.2500 0.1250 0.3750
0.8750 0.1250 0.2500
0.3750 0.6250 0.2500
0.6250 0.3750 0.7500
0.1250 0.8750 0.7500
0.7500 0.8750 0.6250
0.6250 0.2500 0.3750
0.1250 0.2500 0.8750
0.2500 0.6250 0.8750
0.1250 0.3750 0.2500
0.0000 0.5000 0.0000
0.0000 0.0000 0.0000
0.3750 0.2500 0.1250
0.5000 0.0000 0.5000
0.5000 0.5000 0.0000
0.1250 0.7500 0.3750
0.7500 0.1250 0.8750
0.7500 0.6250 0.3750
0.3750 0.1250 0.7500
0.6250 0.8750 0.2500
0.5000 0.5000 0.5000
0.5000 0.0000 0.0000
0.0000 0.0000 0.5000
0.2500 0.3750 0.6250
0.2500 0.8750 0.1250
0.0000 0.5000 0.5000
0.8750 0.2500 0.6250
0.6250 0.7500 0.8750
0.8750 0.6250 0.7500
0.6997 0.1156 0.0167
0.3171 0.5167 0.4011
0.9833 0.3844 0.3003
0.5167 0.1997 0.1156
0.5840 0.6997 0.6829
0.9833 0.5989 0.1829
0.3171 0.8003 0.4160
0.0989 0.9160 0.1156
0.5989 0.9833 0.6829
0.6997 0.5840 0.1829
0.8003 0.4833 0.3844
0.8171 0.9011 0.0167
0.1156 0.6997 0.5167
0.3844 0.4011 0.0840
0.0840 0.9011 0.3844
0.4160 0.1156 0.5989
0.0840 0.1829 0.1997
0.4833 0.6829 0.0989
0.8171 0.9160 0.3003
0.1156 0.4160 0.0989
0.3844 0.9833 0.8003
0.5989 0.6156 0.4160
0.9011 0.8171 0.5167
0.8003 0.3171 0.9160
0.4011 0.3844 0.5840
0.0989 0.1829 0.4833
0.1997 0.6829 0.0840
0.1829 0.0840 0.6997
0.6156 0.0167 0.1997
0.8844 0.5840 0.9011
0.5167 0.3171 0.9011
0.5840 0.8844 0.4011
0.9160 0.8171 0.8003
0.9160 0.0989 0.6156
0.8844 0.3003 0.4833
0.1829 0.0989 0.9833
0.6156 0.5989 0.9160
0.4011 0.0167 0.3171
0.3003 0.4160 0.8171
0.1997 0.5167 0.6156
0.9011 0.0840 0.8844
0.6829 0.1997 0.5840
0.4833 0.8003 0.8844
0.0167 0.4011 0.8171
0.4160 0.3003 0.3171
0.0167 0.6156 0.6997
0.6829 0.4833 0.5989
0.3003 0.8844 0.9833